## RbNa2CdAg (PBE-GGA)

Data for a relaxed RbNa2CdAg crystal.

```
5
Lattice="-4.4972 2.2789 3.0019 -3.3126 -4.6190 -1.4561 1.6983 -2.6556 4.5603" Properties=species:S:1:pos:R:3 pbc="T T T"
Na -1.6563 -2.3095 -0.7281
Na -2.2486 1.1394 1.5009
Rb -3.0557 -2.4979 3.0530
Ag 0.8492 -1.3278 2.2802
Cd 0.0000 0.0000 0.0000
```

Properties
DFT formation energy	0.078	eV per atom



## Rb2TmCl5 (PBE-GGA)

Data for a relaxed Rb2TmCl5 crystal.

```
32
Lattice="-1.4734 -3.3805 6.3738 -2.9081 -7.8198 -4.8197 13.8682 -5.3759 0.3547" Properties=species:S:1:pos:R:3 pbc="T T T"
Tm 5.4201 -9.2062 -1.5029
Tm 4.0665 -7.3700 3.4117
Tm -2.6362 -9.2453 0.8676
Tm 12.1229 -7.3309 1.0411
Rb 10.3920 -10.9431 -1.2748
Rb -0.9054 -5.6331 3.1835
Rb 2.2119 -11.3151 0.8906
Rb 7.2748 -5.2611 1.0182
Rb -0.2521 -9.5943 -3.0200
Rb 9.7388 -6.9820 4.9288
Rb 7.2413 -10.4874 2.4922
Rb 2.2454 -6.0889 -0.5835
Cl 7.8443 -8.8356 -0.7460
Cl 1.6424 -7.7406 2.6547
Cl -1.0639 -11.1651 0.2128
Cl 10.5505 -5.4111 1.6959
Cl 5.2676 -11.5853 -0.6296
Cl 4.2190 -4.9909 2.5384
Cl -1.1073 -7.3997 0.0295
Cl 4.9407 -3.3353 -0.5832
Cl 10.5939 -9.1765 1.8792
Cl 4.5460 -13.2410 2.4920
Cl 9.8723 -10.8321 5.0008
Cl -0.3856 -5.7441 -3.0921
Cl 2.8545 -9.0449 -2.0105
Cl 6.6321 -7.5313 3.9192
Cl 9.2080 -13.0034 1.6124
Cl 0.2787 -3.5729 0.2963
Cl 5.4801 -6.5979 -2.2325
Cl 0.0000 0.0000 0.0000
Cl 4.7433 -8.2881 0.9544
Cl -0.7367 -1.6902 3.1869
```

Properties
formation energy without anion corrections	-2.17	eV/atom



| no. | Fermi-level density of states (states/eV per cell) | calculated volume (Å³/f.u.) | excess energy over the best structure of this formula in the dataset (meV/atom) |
| --- | --- | --- | --- |
| 1 | 2.52 | 190.87 | 69 |
| 2 | 0.00 | 263.90 | 0 |